No. 1
DFT (GGA-PBE) results for a geometry-optimized SmY2PuP4 structure.

The structure in POSCAR format:
```
SmY2PuP4
1.0
-0.630 -1.839 -3.539
6.891 -0.603 -0.914
-2.404 -5.618 3.348
Sm Y Pu P
1 2 1 4
Cartesian
3.130 -1.221 -2.227
-1.517 -3.729 -0.096
2.243 -3.111 1.217
0.000 0.000 0.000
0.772 -2.460 -1.163
3.085 -5.601 0.058
-0.115 -4.351 2.282
4.602 -1.871 0.153
```

Properties
E_form	-11.9	eV per formula unit
total moment	4.88	Bohr magnetons per cell
SG	P2/m (10)
mass density	6245	kg/m3
DOS(E_F)	1.49	states/eV/atom

=====

No. 2
DFT (GGA-PBE) results for a geometry-optimized SmPu2ZrP4 structure.

The structure in POSCAR format:
```
SmPu2ZrP4
1.0
-2.297 -1.082 -3.030
5.551 -1.960 -3.509
-2.350 -5.251 3.655
Sm Pu Zr P
1 2 1 4
Cartesian
1.627 -1.521 -3.270
-2.323 -3.166 0.313
1.601 -3.605 0.073
0.000 0.000 0.000
-0.401 -2.288 -1.459
1.305 -6.005 -1.425
-0.450 -4.394 1.909
3.651 -2.817 -1.762
```

Properties
E_form	-10.5	eV per formula unit
total moment	0.21	Bohr magnetons per cell
SG	P2/m (10)
mass density	8141	kg/m3
DOS(E_F)	2.75	states/eV/atom

=====

No. 3
DFT (GGA-PBE) results for a geometry-optimized PuSnP2 structure.

The structure in POSCAR format:
```
PuSnP2
1.0
-3.646 -1.681 0.351
-1.771 -1.662 -3.216
1.011 -6.922 0.494
P Sn Pu
2 1 1
Cartesian
-3.359 -7.585 -1.807
-1.046 -2.680 -0.565
0.000 0.000 0.000
-2.203 -5.132 -1.186
```

Properties
E_form	-1.7	eV per formula unit
energy relative to the lowest polymorph listed for this composition	0.022	eV per atom
total moment	4.73	Bohr magnetons per cell
SG	R-3m (166)
mass density	7578	kg/m3
DOS(E_F)	2.59	states/eV/atom